Here is a relaxed structure of Ca2HgAsPd from the Alexandria database. Energies are from PBE.

a b c (Å): 5.5943 5.5943 4.7131
angles (deg): 90.00 90.00 90.00
Fractional coordinates of all 5 atoms:
Ca  0.0000  0.5000  0.0000
Ca  0.5000  0.0000  0.0000
Hg  0.0000  0.0000  0.5000
As  0.5000  0.5000  0.0000
Pd  0.5000  0.5000  0.5000

## Properties
Its energy of formation is -0.520 eV/atom. Its total DFT energy (no corrections) is -3.350 eV per atom. Its space-group type is No. 123. The calculation puts the mass density at 5.20 g/cm3.